Entry 1:
! K2TbCl6 (PBE-GGA, relaxed); values from VASP
&SYSTEM
  ibrav = 0, nat = 9, ntyp = 3
/
ATOMIC_SPECIES
Cl 35.45 Cl.upf
K 39.10 K.upf
Tb 158.93 Tb.upf
CELL_PARAMETERS angstrom
4.3029 0.0000 0.0000
0.0000 8.0822 0.0000
0.0000 -4.0411 7.0089
ATOMIC_POSITIONS angstrom
Cl 2.1514 5.4534 4.5563
Cl 2.1514 1.4123 2.4526
Cl 2.1514 5.2573 0.0000
Cl 0.0000 3.0934 5.3673
Cl 0.0000 1.8977 0.0000
Cl 0.0000 7.1345 1.6416
K 0.0000 -0.0022 4.6701
K 0.0000 4.0389 2.3388
Tb 2.1514 0.0028 0.0000
! Formation energy from raw total energies: -1556 kJ/mol of formula units
! Total energy: -3.78 eV per atom

=====

Entry 2:
! KTb2Cl7 (PBE-GGA, relaxed); values from VASP
&SYSTEM
  ibrav = 0, nat = 10, ntyp = 3
/
ATOMIC_SPECIES
Cl 35.45 Cl.upf
K 39.10 K.upf
Tb 158.93 Tb.upf
CELL_PARAMETERS angstrom
-4.2399 0.8265 3.0888
4.4841 -1.4621 6.5464
-0.3009 7.6761 -2.4671
ATOMIC_POSITIONS angstrom
Cl 1.9434 4.1885 6.1118
Cl 0.6117 6.7318 3.6032
Cl 1.0990 5.0027 0.1698
Cl -2.0001 2.8521 1.0563
Cl 3.0842 1.2113 3.9095
Cl -0.6684 0.3088 3.5649
Cl -0.0283 3.5203 3.5841
K 0.0000 0.0000 0.0000
Tb -0.9712 5.3210 1.8079
Tb 0.9146 1.7195 5.3602
! Polymorph energy (0 for the lowest one): 42 meV per atom
! Formation energy from raw total energies: -2132 kJ/mol of formula units
! Total energy: -4.54 eV per atom

=====

Entry 3:
! KTb2Cl8 (PBE-GGA, relaxed); values from VASP
&SYSTEM
  ibrav = 0, nat = 11, ntyp = 3
/
ATOMIC_SPECIES
Cl 35.45 Cl.upf
K 39.10 K.upf
Tb 158.93 Tb.upf
CELL_PARAMETERS angstrom
7.9363 -0.0315 0.8358
1.0055 6.5242 2.3817
0.4930 -0.5084 6.9819
ATOMIC_POSITIONS angstrom
Cl 6.1010 1.7181 8.0506
Cl 3.0872 3.3493 5.4640
Cl 3.0182 -0.0647 4.9818
Cl 7.5539 4.6880 8.0082
Cl 6.4165 6.0490 5.2176
Cl 3.3338 4.2662 2.1488
Cl 6.3476 2.6350 4.7354
Cl 1.8809 1.2963 2.1912
K 0.0000 0.0000 0.0000
Tb 4.1382 1.9244 3.4029
Tb 5.2966 4.0599 6.7966
! Formation energy from raw total energies: -2060 kJ/mol of formula units
! Total energy: -4.23 eV per atom

=====

Entry 4:
! K3TbCl8 (PBE-GGA, relaxed); values from VASP
&SYSTEM
  ibrav = 0, nat = 12, ntyp = 3
/
ATOMIC_SPECIES
Cl 35.45 Cl.upf
K 39.10 K.upf
Tb 158.93 Tb.upf
CELL_PARAMETERS angstrom
7.1391 0.0000 0.0000
0.0000 7.1391 0.0000
-3.5695 -3.5695 7.4200
ATOMIC_POSITIONS angstrom
Cl 1.9683 1.9683 5.7607
Cl -1.9683 -1.9683 5.7607
Cl 5.5379 5.5379 1.6593
Cl -1.9683 1.9683 5.7607
Cl 1.6012 1.6012 1.6593
Cl 1.9683 -1.9683 5.7607
Cl 1.6012 5.5379 1.6593
Cl 5.5379 1.6012 1.6593
K 0.0000 3.5695 3.7100
K 3.5695 3.5695 0.0000
K 3.5695 0.0000 3.7100
Tb 0.0000 0.0000 0.0000
! Formation energy from raw total energies: -1853 kJ/mol of formula units
! Total energy: -3.49 eV per atom

=====

Entry 5:
! KTbVCl6 (PBE-GGA, relaxed); values from VASP
&SYSTEM
  ibrav = 0, nat = 18, ntyp = 4
/
ATOMIC_SPECIES
Cl 35.45 Cl.upf
K 39.10 K.upf
Tb 158.93 Tb.upf
V 50.94 V.upf
CELL_PARAMETERS angstrom
6.6615 0.0000 0.0000
-3.3307 5.7690 0.0000
0.0000 0.0000 14.1803
ATOMIC_POSITIONS angstrom
Cl -0.9013 5.6578 2.0732
Cl 4.2320 0.1112 12.1071
Cl 0.9013 5.6578 5.0170
Cl 1.3110 2.0483 12.1071
Cl -1.1184 2.1595 2.0732
Cl 5.3504 2.0483 9.1633
Cl 4.4491 3.6095 12.1071
Cl -2.0197 3.7207 5.0170
Cl 2.0197 3.7207 2.0732
Cl 1.1184 2.1595 5.0170
Cl 2.2123 3.6095 9.1633
Cl 2.4294 0.1112 9.1633
K 0.0000 0.0000 7.0902
K 0.0000 0.0000 0.0000
Tb 3.3307 1.9230 3.5451
Tb 0.0000 3.8460 10.6352
V 3.3307 1.9230 10.6352
V 0.0000 3.8460 3.5451
! Formation energy from raw total energies: -1611 kJ/mol of formula units
! Total energy: -4.74 eV per atom

=====

Entry 6:
! KTbZnCl6 (PBE-GGA, relaxed); values from VASP
&SYSTEM
  ibrav = 0, nat = 18, ntyp = 4
/
ATOMIC_SPECIES
Cl 35.45 Cl.upf
Zn 65.41 Zn.upf
K 39.10 K.upf
Tb 158.93 Tb.upf
CELL_PARAMETERS angstrom
6.7316 0.0000 0.0000
-3.3658 5.8297 0.0000
0.0000 0.0000 13.9425
ATOMIC_POSITIONS angstrom
Cl 1.3453 2.1159 4.9580
Cl 2.0205 3.7138 8.9845
Cl 4.5256 3.6067 4.9580
Cl -0.8607 5.7226 8.9845
Cl -1.1598 2.2230 8.9845
Cl 2.5051 0.1071 2.0133
Cl -2.0205 3.7138 11.9292
Cl 4.2265 0.1071 4.9580
Cl 0.8607 5.7226 11.9292
Cl 2.2060 3.6067 2.0133
Cl 1.1598 2.2230 11.9292
Cl 5.3863 2.1159 2.0133
Zn 3.3658 1.9432 3.4856
Zn 0.0000 3.8865 10.4569
K 0.0000 0.0000 0.0000
K 0.0000 0.0000 6.9712
Tb 3.3658 1.9432 10.4569
Tb 0.0000 3.8865 3.4856
! Formation energy from raw total energies: -1587 kJ/mol of formula units
! Total energy: -3.84 eV per atom

=====

Entry 7:
! KTcCl3 (PBE-GGA, relaxed); values from VASP
&SYSTEM
  ibrav = 0, nat = 5, ntyp = 3
/
ATOMIC_SPECIES
Cl 35.45 Cl.upf
Tc 98.00 Tc.upf
K 39.10 K.upf
CELL_PARAMETERS angstrom
5.5054 0.0000 0.0000
0.0000 5.5054 0.0000
0.0000 0.0000 5.5054
ATOMIC_POSITIONS angstrom
Cl 0.0000 0.0000 2.7527
Cl 0.0000 2.7527 0.0000
Cl 2.7527 0.0000 0.0000
Tc 2.7527 2.7527 2.7527
K 0.0000 0.0000 0.0000
! Polymorph energy (0 for the lowest one): 1405 meV per atom
! Formation energy from raw total energies: 125 kJ/mol of formula units
! Total energy: -3.14 eV per atom

=====

Entry 8:
! K2TcCl (PBE-GGA, relaxed); values from VASP
&SYSTEM
  ibrav = 0, nat = 4, ntyp = 3
/
ATOMIC_SPECIES
Cl 35.45 Cl.upf
K 39.10 K.upf
Tc 98.00 Tc.upf
CELL_PARAMETERS angstrom
7.4963 0.0150 0.0000
4.6006 5.9185 0.0000
-6.0484 -2.9667 3.2877
ATOMIC_POSITIONS angstrom
Cl 3.7481 0.0075 1.6438
K 0.0000 0.0000 0.0000
K 2.3003 2.9592 1.6438
Tc 6.0484 2.9667 0.0000
! Polymorph energy (0 for the lowest one): 293 meV per atom
! Formation energy from raw total energies: 180 kJ/mol of formula units
! Total energy: -3.13 eV per atom

=====

Entry 9:
! K2TcCl5 (PBE-GGA, relaxed); values from VASP
&SYSTEM
  ibrav = 0, nat = 8, ntyp = 3
/
ATOMIC_SPECIES
Cl 35.45 Cl.upf
Tc 98.00 Tc.upf
K 39.10 K.upf
CELL_PARAMETERS angstrom
-5.3184 0.1695 -5.1501
3.2243 -5.6638 -3.5160
-1.3642 -0.1118 6.7289
ATOMIC_POSITIONS angstrom
Cl 1.2294 -4.4019 -3.8341
Cl -3.4311 -1.2199 -4.7254
Cl -1.6719 -4.3095 -6.6436
Cl -0.5297 -1.3124 -1.9156
Cl -2.1633 -4.0701 -3.2237
Tc -3.3892 -5.5241 -2.0060
K -3.9017 -1.3884 -1.3405
K 0.3698 -4.3054 -0.5236
! Polymorph energy (0 for the lowest one): 79 meV per atom
! Formation energy from raw total energies: -924 kJ/mol of formula units
! Total energy: -3.92 eV per atom

=====

Entry 10:
! K2TcCl (PBE-GGA, relaxed); values from VASP
&SYSTEM
  ibrav = 0, nat = 4, ntyp = 3
/
ATOMIC_SPECIES
K 39.10 K.upf
Tc 98.00 Tc.upf
Cl 35.45 Cl.upf
CELL_PARAMETERS angstrom
3.5808 0.0000 0.0000
0.0000 3.5808 0.0000
0.0000 0.0000 10.5045
ATOMIC_POSITIONS angstrom
K 0.0000 0.0000 8.5080
K 1.7904 1.7904 2.5435
Tc 0.0000 0.0000 5.1171
Cl 1.7904 1.7904 10.0925
! Polymorph energy (0 for the lowest one): 145 meV per atom
! Formation energy from raw total energies: 123 kJ/mol of formula units
! Total energy: -3.28 eV per atom

=====

Entry 11:
! K2TcCl5 (PBE-GGA, relaxed); values from VASP
&SYSTEM
  ibrav = 0, nat = 8, ntyp = 3
/
ATOMIC_SPECIES
K 39.10 K.upf
Cl 35.45 Cl.upf
Tc 98.00 Tc.upf
CELL_PARAMETERS angstrom
-1.2018 3.4657 3.3959
-6.7938 -2.2461 2.5151
3.1386 -2.6075 6.3905
ATOMIC_POSITIONS angstrom
K 0.8203 0.6782 6.1722
K -4.7414 0.8822 4.0045
Cl -4.6400 -2.3269 3.6707
Cl -1.9892 1.7124 5.2494
Cl -0.7329 1.6800 2.0311
Cl -3.1172 -3.1396 7.6871
Cl 0.7720 -2.5252 5.7798
Tc -0.1279 -0.0422 0.3237
! Polymorph energy (0 for the lowest one): 0 meV per atom
! Formation energy from raw total energies: -984 kJ/mol of formula units
! Total energy: -4.00 eV per atom

=====

Entry 12:
! KTc4Cl2 (PBE-GGA, relaxed); values from VASP
&SYSTEM
  ibrav = 0, nat = 7, ntyp = 3
/
ATOMIC_SPECIES
Cl 35.45 Cl.upf
K 39.10 K.upf
Tc 98.00 Tc.upf
CELL_PARAMETERS angstrom
5.0490 0.0000 0.0000
0.0000 5.0490 0.0000
2.5245 2.5245 7.3788
ATOMIC_POSITIONS angstrom
Cl 5.0490 5.0490 5.9100
Cl 2.5245 2.5245 1.4687
K 0.0000 0.0000 0.0000
Tc 0.0000 2.5245 0.0000
Tc 5.0490 5.0490 3.5306
Tc 2.5245 2.5245 3.8482
Tc 2.5245 0.0000 0.0000
! Formation energy from raw total energies: 1714 kJ/mol of formula units
! Total energy: -4.07 eV per atom